[1]
AcCd2Cu2Pt after structural relaxation. Source: Alexandria via LeMat-Bulk, functional PBE.

As for the energy of formation: -175 meV per atom.

The structure belongs to space group I4/mmm (No. 139); the cell edges are 4.283, 4.283 and 16.291 Å and the angles 90.00°, 90.00° and 90.00°. Symmetry generates all atoms from Ac at (0.000, 0.000, 0.000), Cd at (0.000, 0.500, 0.250), Cu at (0.000, 0.000, 0.350) and Pt at (0.000, 0.000, 0.500).

=====

[2]
AcCdCuPt after structural relaxation. Source: Alexandria via LeMat-Bulk, functional PBE.

As for the energy of formation: -405 meV per atom.

The structure belongs to space group F-43m (No. 216); the cell edges are 7.167, 7.167 and 7.167 Å and the angles 90.00°, 90.00° and 90.00°. Symmetry generates all atoms from Ac at (0.000, 0.000, 0.000), Cd at (0.000, 0.000, 0.500), Cu at (0.250, 0.250, 0.250) and Pt at (0.250, 0.250, 0.750).

=====

[3]
Ac2CdCu2Pt5 after structural relaxation. Source: Alexandria via LeMat-Bulk, functional PBE.

As for the energy of formation: -687 meV per atom.

The structure belongs to space group P4/mbm (No. 127); the cell edges are 9.809, 9.809 and 4.029 Å and the angles 90.00°, 90.00° and 90.00°. Symmetry generates all atoms from Ac at (0.180, 0.320, 0.000), Cd at (0.000, 0.000, 0.000), Cu at (0.117, 0.617, 0.000), Pt at (0.000, 0.500, 0.500) and Pt at (0.064, 0.787, 0.500).

=====

[4]
AcCd2CuPt2 after structural relaxation. Source: Alexandria via LeMat-Bulk, functional PBE.

As for the energy of formation: -188 meV per atom.

The structure belongs to space group I4/mmm (No. 139); the cell edges are 5.378, 5.378 and 10.664 Å and the angles 90.00°, 90.00° and 90.00°. Symmetry generates all atoms from Ac at (0.000, 0.000, 0.000), Cd at (0.000, 0.500, 0.250), Cu at (0.000, 0.000, 0.500) and Pt at (0.000, 0.000, 0.270).

=====

[5]
Ac2CdCuRh after structural relaxation. Source: Alexandria via LeMat-Bulk, functional PBE.

As for the energy of formation: -382 meV per atom.

The structure belongs to space group P2_1/m (No. 11); the cell edges are 7.948, 4.428 and 8.076 Å and the angles 90.00°, 102.52° and 90.00°. Symmetry generates all atoms from Ac at (0.135, 0.250, 0.341), Ac at (0.278, 0.250, 0.922), Cd at (0.399, 0.750, 0.625), Cu at (0.409, 0.750, 0.270) and Rh at (0.112, 0.750, 0.080).

=====

[6]
AcCdCu2Si2 after structural relaxation. Source: Alexandria via LeMat-Bulk, functional PBE.

Its uncorrected formation energy is -0.258 eV per atom.

The structure belongs to space group P-3m1 (No. 164); the cell edges are 4.2183, 4.2183 and 7.5389 Å and the angles 90.00°, 90.00° and 120.00°. Symmetry generates all atoms from Ac at (0.0000, 0.0000, 0.0000), Cd at (0.0000, 0.0000, 0.5000), Cu at (0.3333, 0.6667, 0.3178) and Si at (0.3333, 0.6667, 0.7207).

=====

[7]
Ac2CdCu4Si3 after structural relaxation. Source: Alexandria via LeMat-Bulk, functional PBE.

Its uncorrected formation energy is -0.382 eV per atom.

The structure belongs to space group P-4m2 (No. 115); the cell edges are 4.320, 4.320 and 10.344 Å and the angles 90.00°, 90.00° and 90.00°. Symmetry generates all atoms from Ac at (0.000, 0.500, 0.235), Cd at (0.000, 0.000, 0.500), Cu at (0.000, 0.000, 0.000), Cu at (0.000, 0.500, 0.643), Cu at (0.500, 0.500, 0.000), Si at (0.000, 0.500, 0.878) and Si at (0.500, 0.500, 0.500).

=====

[8]
AcCdCuSn2 after structural relaxation. Source: Alexandria via LeMat-Bulk, functional PBE.

As for the energy of formation: -320 meV per atom.

The structure belongs to space group I-4m2 (No. 119); the cell edges are 4.674, 4.674 and 11.927 Å and the angles 90.00°, 90.00° and 90.00°. Symmetry generates all atoms from Ac at (0.000, 0.000, 0.000), Cd at (0.000, 0.500, 0.750), Cu at (0.000, 0.500, 0.250) and Sn at (0.000, 0.000, 0.379).

=====

[9]
AcTbCdCu after structural relaxation. Source: Alexandria via LeMat-Bulk, functional PBE.

As for the energy of formation: -144 meV per atom.

The structure belongs to space group F-43m (No. 216); the cell edges are 7.617, 7.617 and 7.617 Å and the angles 90.00°, 90.00° and 90.00°. Symmetry generates all atoms from Ac at (0.000, 0.000, 0.000), Tb at (0.000, 0.000, 0.500), Cd at (0.250, 0.250, 0.750) and Cu at (0.250, 0.250, 0.250).

=====

[10]
AcTmCdCu after structural relaxation. Source: Alexandria via LeMat-Bulk, functional PBE.

As for the energy of formation: -137 meV per atom.

The structure belongs to space group F-43m (No. 216); the cell edges are 7.563, 7.563 and 7.563 Å and the angles 90.00°, 90.00° and 90.00°. Symmetry generates all atoms from Ac at (0.000, 0.000, 0.000), Tm at (0.000, 0.000, 0.500), Cd at (0.250, 0.250, 0.250) and Cu at (0.250, 0.250, 0.750).

=====

[11]
AcYCdCu after structural relaxation. Source: Alexandria via LeMat-Bulk, functional PBE.

As for the energy of formation: -151 meV per atom.

The structure belongs to space group F-43m (No. 216); the cell edges are 7.616, 7.616 and 7.616 Å and the angles 90.00°, 90.00° and 90.00°. Symmetry generates all atoms from Ac at (0.000, 0.000, 0.000), Y at (0.000, 0.000, 0.500), Cd at (0.250, 0.250, 0.250) and Cu at (0.250, 0.250, 0.750).

=====

[12]
Ac2Zn4CdCu3 after structural relaxation. Source: Alexandria via LeMat-Bulk, functional PBE.

As for the energy of formation: -216 meV per atom.

The structure belongs to space group P-4m2 (No. 115); the cell edges are 4.256, 4.256 and 11.471 Å and the angles 90.00°, 90.00° and 90.00°. Symmetry generates all atoms from Ac at (0.000, 0.500, 0.237), Zn at (0.000, 0.000, 0.000), Zn at (0.000, 0.500, 0.645), Zn at (0.500, 0.500, 0.000), Cd at (0.000, 0.000, 0.500), Cu at (0.000, 0.500, 0.871) and Cu at (0.500, 0.500, 0.500).

=====

no.,E_tot (eV/atom)
1,-3.537
2,-4.195
3,-5.440
4,-3.874
5,-4.498
6,-4.269
7,-4.561
8,-3.745
9,-3.581
10,-3.535
11,-4.047
12,-2.868